# Li4In5Ga

Li4In5Ga after structural relaxation (PBE-GGA, Alexandria via LeMat-Bulk).

Cell and atoms, written as POSCAR:
```
Li4In5Ga
1.0
3.498 0.000 0.000
0.000 3.498 0.000
0.000 0.000 16.755
In Li Ga
5 4 1
Direct
0.500 0.500 0.691
0.500 0.500 0.109
0.500 0.500 0.500
0.500 0.500 0.309
0.500 0.500 0.891
0.000 0.000 0.789
0.000 0.000 0.211
0.000 0.000 0.595
0.000 0.000 0.405
0.000 0.000 0.000
```

Properties
For the energy of formation from the pure elements, the calculation gives -0.20 eV/atom. As for the calculated volume: 20.50 Å³ per atom.

# TeMo2

TeMo2 after structural relaxation (PBE-GGA, Alexandria via LeMat-Bulk).

Cell and atoms, written as POSCAR:
```
TeMo2
1.0
3.233 0.000 0.000
-1.617 2.800 0.000
0.000 0.000 6.414
Te Mo
1 2
Direct
0.000 0.000 0.000
0.667 0.333 0.634
0.333 0.667 0.366
```

Properties
The calculation puts the uncorrected formation energy at 0.3933 eV per atom. As for the calculated volume: 19.35 Å³ per atom. Its energy above the most stable polymorph in this dataset is 352 meV/atom.

# Y2TaMo

Y2TaMo after structural relaxation (PBE-GGA, Alexandria via LeMat-Bulk).

Cell and atoms, written as POSCAR:
```
Y2TaMo
1.0
-4.513 2.168 -0.147
-0.554 -0.878 4.071
1.736 3.684 1.030
Mo Y Ta
1 2 1
Direct
0.500 0.500 0.000
0.000 0.000 0.000
0.000 0.500 0.500
0.500 0.000 0.500
```

Properties
For the energy of formation from the pure elements, the calculation gives 0.53 eV/atom. As for the calculated volume: 22.10 Å³ per atom. Its energy above the most stable polymorph in this dataset is 395 meV/atom.

# ReSiAu2

ReSiAu2 after structural relaxation (PBE-GGA, Alexandria via LeMat-Bulk).

Cell and atoms, written as POSCAR:
```
ReSiAu2
1.0
-1.916 4.144 4.231
-1.018 -0.369 6.130
3.594 -0.601 -5.047
Au Re Si
2 1 1
Direct
0.439 0.439 0.000
0.061 0.061 0.000
0.750 0.250 0.500
0.250 0.750 0.500
```

Properties
The calculation puts the uncorrected formation energy at 0.3072 eV per atom. As for the calculated volume: 16.89 Å³ per atom.

# BaSbP2

BaSbP2 after structural relaxation (PBE-GGA, Alexandria via LeMat-Bulk).

Cell and atoms, written as POSCAR:
```
BaSbP2
1.0
-2.801 5.012 -2.609
-6.276 0.572 -0.228
4.570 -1.365 4.126
Sb P Ba
1 2 1
Direct
0.500 0.500 0.000
0.250 0.750 0.500
0.000 0.000 0.000
0.750 0.250 0.500
```

Properties
The calculation puts the uncorrected formation energy at 0.0207 eV per atom. As for the calculated volume: 25.82 Å³ per atom.

# Li6Cd

Li6Cd after structural relaxation (PBE-GGA, Alexandria via LeMat-Bulk).

Cell and atoms, written as POSCAR:
```
Li6Cd
1.0
-5.307 1.012 2.076
3.715 -0.581 4.400
1.643 4.433 -3.339
Li Cd
6 1
Direct
0.750 0.250 0.500
0.250 0.500 0.750
0.750 0.500 0.250
0.250 0.750 0.500
0.500 0.750 0.250
0.500 0.250 0.750
0.000 0.000 0.000
```

Properties
For the energy of formation from the pure elements, the calculation gives 0.44 eV/atom. As for the calculated volume: 21.32 Å³ per atom. Its energy above the most stable polymorph in this dataset is 461 meV/atom.

Number 1: electronic total energy -2.642 eV/atom. Number 2: electronic total energy -7.875 eV/atom. Number 3: electronic total energy -8.372 eV/atom. Number 4: electronic total energy -5.799 eV/atom. Number 5: electronic total energy -4.196 eV/atom. Number 6: electronic total energy -1.334 eV/atom.